Record 1
A relaxed structure of CsNbH3, computed with PBE.

Summary:
As for the mass density: 4.94 g cm⁻³. The calculated volume is 15.39 A^3/atom. The electronic total energy is -3.93 eV per atom. The spin magnetization comes out at 3.00 μB/f.u. Its symmetry is Pm-3m (221).

Lattice parameters (Å, degrees): 4.254 4.254 4.254 90.00 90.00 90.00
Site moments in Bohr magnetons follow the coordinates.
Positions (direct):
Cs1 0.500 0.500 0.500  0.09
H1 0.000 0.500 0.000  -0.02
H2 0.000 0.000 0.500  -0.03
H3 0.500 0.000 0.000  -0.02
Nb1 0.000 0.000 0.000  2.31

Record 2
A relaxed structure of Ca2AsW, computed with PBE.

Summary:
As for the mass density: 6.53 g cm⁻³. The calculated volume is 21.54 A^3/atom. For the energy of formation from the pure elements, the calculation gives 0.367 eV per atom. The electronic total energy is -5.03 eV per atom. The spin magnetization comes out at 0.00 μB/f.u. Its symmetry is Cmmm (65).

Lattice parameters (Å, degrees): 5.613 5.613 2.960 90.00 90.00 112.53
Positions (direct):
As1 0.000 0.500 0.500
Ca1 0.000 0.000 0.000
Ca2 0.500 0.500 0.000
W1 0.500 0.000 0.500

Record 3
A relaxed structure of ThAl2SiIr4, computed with PBE.

Summary:
As for the mass density: 13.52 g cm⁻³. The calculated volume is 16.62 A^3/atom. The electronic total energy is -7.80 eV per atom. The uncorrected formation energy comes out at -0.83 eV per atom. The spin magnetization comes out at 0.00 μB/f.u. Its symmetry is R-3m (166).

Lattice parameters (Å, degrees): 4.246 4.246 8.864 76.14 76.14 60.00
Positions (direct):
Th1 0.000 0.000 0.000
Al1 0.760 0.760 0.721
Al2 0.240 0.240 0.279
Si1 0.500 0.500 0.500
Ir1 0.405 0.405 0.784
Ir2 0.864 0.864 0.409
Ir3 0.136 0.136 0.591
Ir4 0.595 0.595 0.216

Record 4
A relaxed structure of Ba4GaCu5, computed with PBE.

Summary:
As for the mass density: 4.95 g cm⁻³. The calculated volume is 31.39 A^3/atom. For the energy of formation from the pure elements, the calculation gives -0.005 eV per atom. The electronic total energy is -3.13 eV per atom. The spin magnetization comes out at 0.00 μB/f.u. Its symmetry is I4mm (107).

Lattice parameters (Å, degrees): 4.617 8.563 8.562 85.84 74.38 74.36
Positions (direct):
Ba1 0.761 0.739 0.739
Ba2 0.500 0.261 0.739
Ba3 0.500 0.739 0.261
Ba4 0.239 0.261 0.261
Ga1 0.996 0.000 0.000
Cu1 0.218 0.564 0.000
Cu2 0.218 0.000 0.564
Cu3 0.782 0.000 0.436
Cu4 0.782 0.436 0.000
Cu5 0.495 0.000 0.000